DFT (PBE) results for a geometry-optimized NbGaFeAu structure.

Output
* excess energy over the best structure of this formula in the dataset: 4 meV per atom
* spin magnetization: 1.80 μB/f.u.
* energy: -98.07 eV for the cell shown

a b c (Å): 6.3304 6.3304 6.3304
angles (deg): 90.00 90.00 90.00
With the nearest neighbours (Å) after each atom.
Space group F-43m (No. 216)
Unique sites:
Nb (0.0000, 0.0000, 0.0000) [4 per cell]  4 Ga 2.74, 4 Au 2.74
Ga (0.2500, 0.2500, 0.2500) [4 per cell]  4 Nb 2.74, 4 Fe 2.74
Fe (0.0000, 0.0000, 0.5000) [4 per cell]  4 Au 2.74, 4 Ga 2.74
Au (0.2500, 0.2500, 0.7500) [4 per cell]  4 Nb 2.74, 4 Fe 2.74